No. 1
DFT (GGA-PBE) results for an optimized crystal structure of Rb3RuCl6.

```
20
Lattice="-2.905 7.002 4.607 1.467 -4.510 7.497 8.282 3.174 0.116" Properties=species:S:1:pos:R:3 pbc="T T T"
Rb 2.686 -1.280 4.589
Rb 4.067 3.224 1.727
Rb 7.552 2.605 7.743
Rb -0.708 3.061 4.477
Rb 2.778 2.443 10.492
Rb 4.158 6.947 7.631
Ru 0.000 0.000 0.000
Ru 3.422 2.833 6.110
Cl 8.558 -0.043 5.975
Cl 3.246 -2.896 7.457
Cl 4.485 1.448 4.461
Cl 7.187 4.405 1.864
Cl 1.524 1.363 6.159
Cl 4.451 1.521 7.838
Cl 2.394 4.146 4.381
Cl 5.321 4.303 6.061
Cl -0.343 1.262 10.356
Cl 2.359 4.219 7.759
Cl 3.599 8.563 4.762
Cl -1.714 5.710 6.245
```

Values from the calculation:
ΔE to the lowest computed polymorph, meV/atom: 11
Energy relative to the elements, uncorrected, meV/atom: -1363



No. 2
DFT (GGA-PBE) results for an optimized crystal structure of K2TaTcO6.

```
10
Lattice="3.976 0.000 0.000 0.000 5.640 0.000 0.000 0.000 5.640" Properties=species:S:1:pos:R:3 pbc="T T T"
K 0.575 2.820 0.000
K 0.575 0.000 2.820
Ta 2.563 0.000 0.000
Tc 2.564 2.820 2.820
O 2.563 1.421 1.421
O 2.563 1.421 4.219
O 0.576 2.820 2.820
O 0.575 0.000 0.000
O 2.563 4.219 4.219
O 2.563 4.219 1.421
```

Values from the calculation:
Energy relative to the elements, uncorrected, meV/atom: -2090



No. 3
DFT (GGA-PBE) results for an optimized crystal structure of La2AlIrI.

```
5
Lattice="5.850 0.000 0.000 0.000 4.515 0.000 0.000 0.000 5.850" Properties=species:S:1:pos:R:3 pbc="T T T"
I 2.925 2.257 2.925
Ir 0.000 2.257 0.000
Al 0.000 0.000 0.000
La 0.000 0.000 2.925
La 2.925 0.000 0.000
```

Values from the calculation:
ΔE to the lowest computed polymorph, meV/atom: 545
Energy relative to the elements, uncorrected, meV/atom: -190



No. 4
DFT (GGA-PBE) results for an optimized crystal structure of La2MnCd.

```
4
Lattice="6.452 -0.090 0.037 5.433 3.481 0.037 2.174 0.620 4.820" Properties=species:S:1:pos:R:3 pbc="T T T"
Cd 3.144 0.897 1.402
La 11.723 3.345 0.154
La 10.833 3.091 3.528
Mn 7.272 2.075 2.330
```

Values from the calculation:
Formation energy from the elements, eV/atom: 0.04



No. 5
DFT (GGA-PBE) results for an optimized crystal structure of CoHgSb2.

```
4
Lattice="-0.546 -1.505 2.705 2.834 0.861 1.052 -3.455 7.275 3.350" Properties=species:S:1:pos:R:3 pbc="T T T"
Co -1.684 3.546 1.633
Hg -1.256 4.732 4.206
Sb -3.429 7.221 3.325
Sb 0.020 2.045 2.969
```

Values from the calculation:
Energy relative to the elements, uncorrected, meV/atom: 233



No. 6
DFT (GGA-PBE) results for an optimized crystal structure of LaTlSn2Cl8.

```
12
Lattice="6.957 0.056 -0.186 0.110 6.560 -0.143 -0.222 -0.164 9.163" Properties=species:S:1:pos:R:3 pbc="T T T"
La 0.000 0.000 0.000
Tl -0.111 -0.082 4.582
Sn 3.440 3.207 6.664
Sn 3.405 3.246 2.171
Cl 1.041 4.862 1.882
Cl 4.581 4.761 8.595
Cl 5.639 1.444 1.845
Cl 5.805 1.590 6.953
Cl 2.265 1.692 0.240
Cl 1.207 5.008 6.990
Cl 4.426 4.647 4.785
Cl 2.420 1.805 4.050
```

Values from the calculation:
Energy relative to the elements, uncorrected, meV/atom: -1458



No. 7
DFT (GGA-PBE) results for an optimized crystal structure of AlAg4.

```
5
Lattice="-1.702 0.809 2.265 -3.114 -0.539 -4.065 0.780 -6.131 0.859" Properties=species:S:1:pos:R:3 pbc="T T T"
Ag -0.945 -5.223 3.073
Ag -1.564 -1.935 1.433
Ag -1.752 -4.613 0.331
Ag -2.372 -1.324 -1.309
Al -2.364 -3.948 -2.284
```

Values from the calculation:
Formation energy from the elements, eV/atom: -0.04



No. 8
DFT (GGA-PBE) results for an optimized crystal structure of Mg3OsBr.

```
5
Lattice="-2.741 3.651 -1.628 -3.921 -2.070 1.960 0.781 2.425 4.124" Properties=species:S:1:pos:R:3 pbc="T T T"
Mg -1.960 -1.035 0.980
Mg 0.391 1.213 2.062
Mg -1.371 1.826 -0.814
Os -2.941 2.003 2.228
Br 0.000 0.000 0.000
```

Values from the calculation:
ΔE to the lowest computed polymorph, meV/atom: 572
Energy relative to the elements, uncorrected, meV/atom: 1011



Here are the calculated magnetic moment numbers, same order: 0.00; 0.06; 0.00; 0.83; 0.08; 0.00; 0.00; 0.20 (μB/atom).